(1)
A geometry-optimized LiTi3N structure, computed with PBE.

Values from the calculation:
- V (Å³/f.u.) = 71
- energy relative to the elements, uncorrected (kcal/mol of atoms) = -14.0

Cell lengths 4.139, 4.139, 4.139 Å; angles 90.00, 90.00, 90.00 degrees
Space group Pm-3m (No. 221)
Symmetry-distinct sites (fractional):
Li (0.000, 0.000, 0.000)
Ti (0.000, 0.500, 0.500)
N (0.500, 0.500, 0.500)

(2)
A geometry-optimized Li4U3TiN8 structure, computed with PBE.

Values from the calculation:
- V (Å³/f.u.) = 198
- energy relative to the elements, uncorrected (kcal/mol of atoms) = -25.2

Cell lengths 6.7147, 6.7147, 15.1917 Å; angles 90.00, 90.00, 120.00 degrees
Space group R-3m (No. 166, hexagonal axes)
Symmetry-distinct sites (fractional):
Li (0.0000, 0.0000, 0.0000)
Li (0.0000, 0.5000, 0.0000)
U (0.0000, 0.5000, 0.5000)
Ti (0.0000, 0.0000, 0.5000)
N (0.0000, 0.0000, 0.2388)
N (0.0049, 0.5024, 0.2357)

(3)
A geometry-optimized Li3U2TiN6 structure, computed with PBE.

Values from the calculation:
- V (Å³/f.u.) = 144
- energy relative to the elements, uncorrected (kcal/mol of atoms) = -25.9

Cell lengths 5.693, 10.021, 5.347 Å; angles 90.00, 108.88, 90.00 degrees
Space group C2/m (No. 12)
Symmetry-distinct sites (fractional):
Li (0.000, 0.000, 0.000)
Li (0.000, 0.359, 0.000)
U (0.000, 0.166, 0.500)
Ti (0.000, 0.500, 0.500)
N (0.230, 0.339, 0.707)
N (0.242, 0.000, 0.715)

(4)
A geometry-optimized LiUTi2N4 structure, computed with PBE.

Values from the calculation:
- V (Å³/f.u.) = 87
- energy relative to the elements, uncorrected (kcal/mol of atoms) = -30.8

Cell lengths 4.391, 4.391, 9.023 Å; angles 90.00, 90.00, 90.00 degrees
Space group I4/mmm (No. 139)
Symmetry-distinct sites (fractional):
Li (0.000, 0.000, 0.000)
U (0.000, 0.000, 0.500)
Ti (0.000, 0.500, 0.250)
N (0.000, 0.000, 0.258)
N (0.000, 0.500, 0.000)

(5)
A geometry-optimized Li4TiW3N8 structure, computed with PBE.

Values from the calculation:
- V (Å³/f.u.) = 158
- energy relative to the elements, uncorrected (kcal/mol of atoms) = -16.0

Cell lengths 5.9755, 5.9755, 15.3740 Å; angles 90.00, 90.00, 120.00 degrees
Space group R-3m (No. 166, hexagonal axes)
Symmetry-distinct sites (fractional):
Li (0.0000, 0.0000, 0.0000)
Li (0.0000, 0.5000, 0.0000)
Ti (0.0000, 0.0000, 0.5000)
W (0.0000, 0.5000, 0.5000)
N (0.0000, 0.0000, 0.2437)
N (0.0033, 0.5016, 0.7592)

(6)
A geometry-optimized LiZr2TiN structure, computed with PBE.

Values from the calculation:
- V (Å³/f.u.) = 98
- energy relative to the elements, uncorrected (kcal/mol of atoms) = 39.8

Cell lengths 4.874, 4.874, 4.113 Å; angles 90.00, 90.00, 90.00 degrees
Space group P4/mmm (No. 123)
Symmetry-distinct sites (fractional):
Li (0.000, 0.000, 0.000)
Zr (0.000, 0.500, 0.500)
Ti (0.000, 0.000, 0.500)
N (0.500, 0.500, 0.000)

(7)
A geometry-optimized LiZr2TiN structure, computed with PBE.

Values from the calculation:
- V (Å³/f.u.) = 84
- energy relative to the elements, uncorrected (kcal/mol of atoms) = -13.7

Cell lengths 4.533, 4.533, 4.086 Å; angles 90.00, 90.00, 90.00 degrees
Space group P4/mmm (No. 123)
Symmetry-distinct sites (fractional):
Li (0.000, 0.000, 0.000)
Zr (0.000, 0.500, 0.500)
Ti (0.500, 0.500, 0.000)
N (0.500, 0.500, 0.500)

(8)
A geometry-optimized LiZr2Ti3N6 structure, computed with PBE.

Values from the calculation:
- V (Å³/f.u.) = 126
- energy relative to the elements, uncorrected (kcal/mol of atoms) = -35.9

Cell lengths 13.537, 3.093, 6.224 Å; angles 90.00, 104.22, 90.00 degrees
Space group C2/m (No. 12)
Symmetry-distinct sites (fractional):
Li (0.000, 0.000, 0.000)
Zr (0.160, 0.500, 0.320)
Ti (0.000, 0.000, 0.500)
Ti (0.158, 0.500, 0.830)
N (0.004, 0.500, 0.738)
N (0.163, 0.000, 0.591)
N (0.168, 0.000, 0.069)

(9)
A geometry-optimized LiTl2N2 structure, computed with PBE.

Values from the calculation:
- V (Å³/f.u.) = 79
- energy relative to the elements, uncorrected (kcal/mol of atoms) = 19.9

Cell lengths 6.736, 6.736, 3.477 Å; angles 90.00, 90.00, 90.00 degrees
Space group P4/mbm (No. 127)
Symmetry-distinct sites (fractional):
Li (0.000, 0.000, 0.000)
Tl (0.150, 0.350, 0.500)
N (0.193, 0.693, 0.000)

(10)
A geometry-optimized Li2TlN structure, computed with PBE.

Values from the calculation:
- V (Å³/f.u.) = 73
- energy relative to the elements, uncorrected (kcal/mol of atoms) = 2.3

Cell lengths 5.442, 5.442, 9.875 Å; angles 90.00, 90.00, 90.00 degrees
Space group I4_1/amd (No. 141, origin choice 2)
Symmetry-distinct sites (fractional):
Li (0.000, 0.000, 0.000)
Tl (0.000, 0.250, 0.375)
N (0.000, 0.250, 0.875)

(11)
A geometry-optimized LiTl3N structure, computed with PBE.

Values from the calculation:
- V (Å³/f.u.) = 128
- energy relative to the elements, uncorrected (kcal/mol of atoms) = 14.1

Cell lengths 5.042, 5.042, 5.042 Å; angles 90.00, 90.00, 90.00 degrees
Space group Pm-3m (No. 221)
Symmetry-distinct sites (fractional):
Li (0.000, 0.000, 0.000)
Tl (0.000, 0.500, 0.500)
N (0.500, 0.500, 0.500)

(12)
A geometry-optimized LiTl3N structure, computed with PBE.

Values from the calculation:
- V (Å³/f.u.) = 127
- energy relative to the elements, uncorrected (kcal/mol of atoms) = 25.8

Cell lengths 5.026, 5.026, 5.026 Å; angles 90.00, 90.00, 90.00 degrees
Space group Pm-3m (No. 221)
Symmetry-distinct sites (fractional):
Li (0.000, 0.000, 0.000)
Tl (0.000, 0.000, 0.500)
N (0.500, 0.500, 0.500)

(13)
A geometry-optimized LiTl2N2 structure, computed with PBE.

Values from the calculation:
- V (Å³/f.u.) = 112
- energy relative to the elements, uncorrected (kcal/mol of atoms) = 4.7

Cell lengths 6.119, 6.119, 5.993 Å; angles 90.00, 90.00, 90.00 degrees
Space group I4/mmm (No. 139)
Symmetry-distinct sites (fractional):
Li (0.000, 0.000, 0.000)
Tl (0.000, 0.500, 0.250)
N (0.000, 0.000, 0.404)

(14)
A geometry-optimized Li8TlN2 structure, computed with PBE.

Values from the calculation:
- V (Å³/f.u.) = 140
- energy relative to the elements, uncorrected (kcal/mol of atoms) = -5.8

Cell lengths 6.698, 10.439, 4.038 Å; angles 90.00, 95.64, 90.00 degrees
Space group C2/m (No. 12)
Symmetry-distinct sites (fractional):
Li (0.000, 0.213, 0.000)
Li (0.093, 0.000, 0.727)
Li (0.196, 0.345, 0.549)
Tl (0.000, 0.500, 0.000)
N (0.000, 0.179, 0.500)

(15)
A geometry-optimized Li2TlN structure, computed with PBE.

Values from the calculation:
- V (Å³/f.u.) = 56
- energy relative to the elements, uncorrected (kcal/mol of atoms) = 8.9

Cell lengths 6.080, 6.080, 6.080 Å; angles 90.00, 90.00, 90.00 degrees
Space group Fm-3m (No. 225)
Symmetry-distinct sites (fractional):
Li (0.250, 0.250, 0.250)
Tl (0.000, 0.000, 0.000)
N (0.000, 0.000, 0.500)

(16)
A geometry-optimized LiTl2VN structure, computed with PBE.

Values from the calculation:
- V (Å³/f.u.) = 151
- energy relative to the elements, uncorrected (kcal/mol of atoms) = 36.0

Cell lengths 5.427, 5.427, 5.123 Å; angles 90.00, 90.00, 90.00 degrees
Space group P4/mmm (No. 123)
Symmetry-distinct sites (fractional):
Li (0.000, 0.000, 0.000)
Tl (0.000, 0.500, 0.500)
V (0.000, 0.000, 0.500)
N (0.500, 0.500, 0.000)

(17)
A geometry-optimized LiZr2TlN structure, computed with PBE.

Values from the calculation:
- V (Å³/f.u.) = 86
- energy relative to the elements, uncorrected (kcal/mol of atoms) = -16.4

Cell lengths 4.485, 4.485, 4.298 Å; angles 90.00, 90.00, 90.00 degrees
Space group P4/mmm (No. 123)
Symmetry-distinct sites (fractional):
Li (0.000, 0.000, 0.000)
Zr (0.000, 0.500, 0.500)
Tl (0.500, 0.500, 0.000)
N (0.000, 0.000, 0.500)

(18)
A geometry-optimized LiTm3N structure, computed with PBE.

Values from the calculation:
- V (Å³/f.u.) = 108
- energy relative to the elements, uncorrected (kcal/mol of atoms) = -13.3

Cell lengths 4.767, 4.767, 4.767 Å; angles 90.00, 90.00, 90.00 degrees
Space group Pm-3m (No. 221)
Symmetry-distinct sites (fractional):
Li (0.000, 0.000, 0.000)
Tm (0.000, 0.500, 0.500)
N (0.500, 0.500, 0.500)

(19)
A geometry-optimized Li4TmU3N8 structure, computed with PBE.

Values from the calculation:
- V (Å³/f.u.) = 208
- energy relative to the elements, uncorrected (kcal/mol of atoms) = -26.7

Cell lengths 6.9018, 6.9018, 15.1194 Å; angles 90.00, 90.00, 120.00 degrees
Space group R-3m (No. 166, hexagonal axes)
Symmetry-distinct sites (fractional):
Li (0.0000, 0.0000, 0.0000)
Li (0.0000, 0.5000, 0.0000)
Tm (0.0000, 0.0000, 0.5000)
U (0.0000, 0.5000, 0.5000)
N (0.0000, 0.0000, 0.2378)
N (0.0204, 0.5102, 0.7647)

(20)
A geometry-optimized LiTm2Zr3N6 structure, computed with PBE.

Values from the calculation:
- V (Å³/f.u.) = 152
- energy relative to the elements, uncorrected (kcal/mol of atoms) = -37.3

Cell lengths 14.317, 3.292, 6.639 Å; angles 90.00, 104.06, 90.00 degrees
Space group C2/m (No. 12)
Symmetry-distinct sites (fractional):
Li (0.000, 0.000, 0.000)
Tm (0.163, 0.500, 0.324)
Zr (0.000, 0.000, 0.500)
Zr (0.160, 0.500, 0.837)
N (0.004, 0.500, 0.731)
N (0.164, 0.000, 0.589)
N (0.171, 0.000, 0.076)

(21)
A geometry-optimized LiUN2 structure, computed with PBE.

Values from the calculation:
- V (Å³/f.u.) = 48
- energy relative to the elements, uncorrected (kcal/mol of atoms) = -10.6

Cell lengths 2.866, 2.866, 5.852 Å; angles 90.00, 90.00, 90.00 degrees
Space group P4/mmm (No. 123)
Symmetry-distinct sites (fractional):
Li (0.000, 0.000, 0.000)
U (0.000, 0.000, 0.500)
N (0.500, 0.500, 0.282)

(22)
A geometry-optimized LiUN2 structure, computed with PBE.

Values from the calculation:
- V (Å³/f.u.) = 65
- energy relative to the elements, uncorrected (kcal/mol of atoms) = -1.8

Cell lengths 3.5412, 3.5412, 18.0300 Å; angles 90.00, 90.00, 120.00 degrees
Space group R-3m (No. 166, hexagonal axes)
Symmetry-distinct sites (fractional):
Li (0.0000, 0.0000, 0.0000)
U (0.0000, 0.0000, 0.5000)
N (0.0000, 0.0000, 0.4007)

(23)
A geometry-optimized LiUN structure, computed with PBE.

Values from the calculation:
- V (Å³/f.u.) = 46
- energy relative to the elements, uncorrected (kcal/mol of atoms) = -13.4

Cell lengths 3.325, 3.325, 4.190 Å; angles 90.00, 90.00, 90.00 degrees
Space group P4/mmm (No. 123)
Symmetry-distinct sites (fractional):
Li (0.000, 0.000, 0.000)
U (0.500, 0.500, 0.500)
N (0.000, 0.000, 0.500)

(24)
A geometry-optimized LiUN2 structure, computed with PBE.

Values from the calculation:
- V (Å³/f.u.) = 53
- energy relative to the elements, uncorrected (kcal/mol of atoms) = -27.9

Cell lengths 4.365, 4.365, 11.124 Å; angles 90.00, 90.00, 90.00 degrees
Space group I4_1/amd (No. 141, origin choice 2)
Symmetry-distinct sites (fractional):
Li (0.000, 0.250, 0.375)
U (0.000, 0.250, 0.875)
N (0.000, 0.250, 0.084)

(25)
A geometry-optimized LiUN2 structure, computed with PBE.

Values from the calculation:
- V (Å³/f.u.) = 59
- energy relative to the elements, uncorrected (kcal/mol of atoms) = -22.8

Cell lengths 3.4751, 3.4751, 16.9962 Å; angles 90.00, 90.00, 120.00 degrees
Space group R3m (No. 160, hexagonal axes)
Symmetry-distinct sites (fractional):
Li (0.0000, 0.0000, 0.0000)
U (0.0000, 0.0000, 0.8071)
N (0.0000, 0.0000, 0.1960)
N (0.0000, 0.0000, 0.4063)

no.,spin magnetization (μB per formula unit),final energy (eV/atom)
1,0.00,-7.390
2,2.11,-8.344
3,0.99,-8.303
4,0.00,-9.121
5,0.00,-8.259
6,0.00,-5.318
7,0.00,-7.640
8,0.00,-9.278
9,0.00,-3.797
10,0.00,-3.531
11,0.21,-2.856
12,0.00,-2.350
13,0.00,-4.457
14,0.00,-3.371
15,0.00,-3.243
16,6.33,-3.255
17,0.00,-6.650
18,0.00,-5.309
19,1.11,-8.196
20,0.00,-8.822
21,0.29,-7.924
22,0.85,-7.542
23,2.10,-7.756
24,1.01,-8.673
25,1.01,-8.452